(1)
SrLi2Pm2Si2 | the Alexandria database | PBE | optimized geometry; DOS at the Fermi energy = 2.90 states/eV/f.u.; SG = R-3m, No. 166
1.0
-3.982 -0.214 -2.375
0.069 -0.685 -4.590
-1.627 -9.553 -0.947
Si Pm Sr Li
2 2 1 2
direct
0.252 0.252 0.244
0.748 0.748 0.756
0.129 0.129 0.612
0.871 0.871 0.388
0.000 0.000 0.000
0.589 0.589 0.233
0.411 0.411 0.767

=====

(2)
LiCu2F | the Alexandria database | PBE | optimized geometry; DOS at the Fermi energy = 0.56 states/eV/f.u.; SG = Fm-3m, No. 225; energy relative to the lowest polymorph listed for this composition = 371 meV per atom
1.0
2.318 -1.943 2.746
-1.415 -0.643 3.778
-0.986 -3.779 1.196
F Cu Li
1 2 1
direct
0.500 0.500 0.500
0.250 0.250 0.250
0.750 0.750 0.750
0.000 0.000 0.000

=====

| no. | formation energy without anion corrections (meV/atom) | total magnetization (Bohr magnetons per cell) | total DFT energy (no corrections) (eV for the cell shown) |
| --- | --- | --- | --- |
| 1 | -370 | 0.00 | -28.45 |
| 2 | -195 | 0.00 | -12.76 |